Cs2SrSBr6 | PBE | relaxed

Cell: 7.8240 7.8240 13.6359 Å, 90.00 90.00 90.00°
With the nearest neighbours (Å) after each atom.
Space group I4/mmm (No. 139)
Asymmetric unit:
Cs  0.0000  0.5000  0.2500 x4  12 Br 3.94-4.40
Sr  0.0000  0.0000  0.0000 x2  6 Br 2.96-3.04
S  0.0000  0.0000  0.5000 x2  4 Br 2.49
Br  0.0000  0.0000  0.2174 x4  1 Sr 2.96
Br  0.2251  0.2251  0.5000 x8  1 S 2.49

Computed properties:
total moment: 0.000 μB/atom
formation energy (no corrections): -1241 meV/atom
density of states at the Fermi level: 0.000 states/eV/cell
energy: -59.93 eV per cell